*one*
Computed, not measured: ScFeW2 after structural relaxation at the PBE-GGA level of DFT.

Cell lengths 2.696, 4.588, 5.266 Å; angles 90.00, 90.00, 90.00 degrees
Sites, in units of the cell vectors:
Sc1 0.000 0.000 0.000
Fe1 0.000 0.000 0.500
W1 0.500 0.500 0.252
W2 0.500 0.500 0.748

Properties
**Symmetry**: Pmmm, No. 47
**N(E_F)**: 3.453 states/eV/f.u.
**Magnetic moment**: 1.77 Bohr magnetons per cell

*two*
Computed, not measured: ScFeW2 after structural relaxation at the PBE-GGA level of DFT.

Cell lengths 5.141, 5.141, 5.141 Å; angles 143.92, 126.54, 66.20 degrees
Sites, in units of the cell vectors:
Sc1 0.000 0.000 0.000
Fe1 0.746 0.246 0.500
W1 0.273 0.773 0.500
W2 0.517 0.517 0.000

Properties
**Symmetry**: Imm2, No. 44
**N(E_F)**: 3.338 states/eV/f.u.
**Magnetic moment**: 0.98 Bohr magnetons per cell

Which structure is most stable? *two*, by 158 meV/atom over the runner-up.

*one*
Computed, not measured: ScFeW3 after structural relaxation at the PBE-GGA level of DFT.

Cell lengths 4.523, 4.523, 4.523 Å; angles 90.00, 90.00, 90.00 degrees
Sites, in units of the cell vectors:
Sc1 0.000 0.000 0.000
Fe1 0.500 0.500 0.500
W1 0.000 0.500 0.500
W2 0.500 0.000 0.500
W3 0.500 0.500 0.000

Properties
**Symmetry**: Pm-3m, No. 221
**N(E_F)**: 6.628 states/eV/f.u.
**Magnetic moment**: 0.00 Bohr magnetons per cell

*two*
Computed, not measured: ScFeW3 after structural relaxation at the PBE-GGA level of DFT.

Cell lengths 4.535, 4.535, 4.535 Å; angles 90.00, 90.00, 90.00 degrees
Sites, in units of the cell vectors:
Sc1 0.000 0.000 0.000
Fe1 0.500 0.500 0.500
W1 0.000 0.000 0.500
W2 0.000 0.500 0.000
W3 0.500 0.000 0.000

Properties
**Symmetry**: Pm-3m, No. 221
**N(E_F)**: 9.282 states/eV/f.u.
**Magnetic moment**: 0.00 Bohr magnetons per cell

Which structure is most stable? *one*, by 1760 meV/atom over the runner-up.

*one*
Computed, not measured: YSc2Fe2 after structural relaxation at the PBE-GGA level of DFT.

Cell lengths 6.399, 6.399, 6.399 Å; angles 141.84, 141.84, 55.07 degrees
Sites, in units of the cell vectors:
Y1 0.000 0.000 0.000
Sc1 0.250 0.750 0.500
Sc2 0.750 0.250 0.500
Fe1 0.406 0.406 0.000
Fe2 0.594 0.594 0.000

Properties
**Symmetry**: I4/mmm, No. 139
**N(E_F)**: 5.670 states/eV/f.u.
**Magnetic moment**: 1.58 Bohr magnetons per cell

*two*
Computed, not measured: YSc2Fe2 after structural relaxation at the PBE-GGA level of DFT.

Cell lengths 7.673, 7.673, 3.075 Å; angles 90.00, 90.00, 90.00 degrees
Sites, in units of the cell vectors:
Y1 0.000 0.000 0.000
Y2 0.500 0.500 0.000
Sc1 0.131 0.369 0.000
Sc2 0.369 0.869 0.000
Sc3 0.631 0.131 0.000
Sc4 0.869 0.631 0.000
Fe1 0.168 0.668 0.500
Fe2 0.332 0.168 0.500
Fe3 0.668 0.832 0.500
Fe4 0.832 0.332 0.500

Properties
**Symmetry**: P4/mbm, No. 127
**N(E_F)**: 9.141 states/eV/f.u.
**Magnetic moment**: 0.00 Bohr magnetons per cell

*three*
Computed, not measured: YSc2Fe2 after structural relaxation at the PBE-GGA level of DFT.

Cell lengths 5.796, 5.796, 5.796 Å; angles 134.27, 134.27, 66.67 degrees
Sites, in units of the cell vectors:
Y1 0.000 0.000 0.000
Sc1 0.346 0.346 0.000
Sc2 0.654 0.654 0.000
Fe1 0.250 0.750 0.500
Fe2 0.750 0.250 0.500

Properties
**Symmetry**: I4/mmm, No. 139
**N(E_F)**: 4.808 states/eV/f.u.
**Magnetic moment**: 0.00 Bohr magnetons per cell

Which structure is most stable? *one*, by 178 meV/atom over the runner-up.

*one*
Computed, not measured: YSc3Fe after structural relaxation at the PBE-GGA level of DFT.

Cell lengths 5.021, 5.021, 5.021 Å; angles 90.00, 90.00, 90.00 degrees
Sites, in units of the cell vectors:
Y1 0.000 0.000 0.000
Sc1 0.000 0.000 0.500
Sc2 0.000 0.500 0.000
Sc3 0.500 0.000 0.000
Fe1 0.500 0.500 0.500

Properties
**Symmetry**: Pm-3m, No. 221
**N(E_F)**: 10.044 states/eV/f.u.
**Magnetic moment**: 0.20 Bohr magnetons per cell

*two*
Computed, not measured: YSc3Fe after structural relaxation at the PBE-GGA level of DFT.

Cell lengths 4.929, 4.929, 4.929 Å; angles 90.00, 90.00, 90.00 degrees
Sites, in units of the cell vectors:
Y1 0.000 0.000 0.000
Sc1 0.000 0.500 0.500
Sc2 0.500 0.000 0.500
Sc3 0.500 0.500 0.000
Fe1 0.500 0.500 0.500

Properties
**Symmetry**: Pm-3m, No. 221
**N(E_F)**: 5.888 states/eV/f.u.
**Magnetic moment**: 0.00 Bohr magnetons per cell

Which structure is most stable? *two*, by 1655 meV/atom over the runner-up.

*one*
Computed, not measured: Sc3ZnFe after structural relaxation at the PBE-GGA level of DFT.

Cell lengths 4.911, 4.911, 4.911 Å; angles 90.00, 90.00, 90.00 degrees
Sites, in units of the cell vectors:
Sc1 0.000 0.000 0.500
Sc2 0.000 0.500 0.000
Sc3 0.500 0.000 0.000
Zn1 0.000 0.000 0.000
Fe1 0.500 0.500 0.500

Properties
**Symmetry**: Pm-3m, No. 221
**N(E_F)**: 9.643 states/eV/f.u.
**Magnetic moment**: 0.00 Bohr magnetons per cell

*two*
Computed, not measured: Sc3ZnFe after structural relaxation at the PBE-GGA level of DFT.

Cell lengths 4.787, 4.787, 4.787 Å; angles 90.00, 90.00, 90.00 degrees
Sites, in units of the cell vectors:
Sc1 0.000 0.000 0.500
Sc2 0.000 0.500 0.000
Sc3 0.500 0.000 0.000
Zn1 0.500 0.500 0.500
Fe1 0.000 0.000 0.000

Properties
**Symmetry**: Pm-3m, No. 221
**N(E_F)**: 3.252 states/eV/f.u.
**Magnetic moment**: 0.00 Bohr magnetons per cell

Which structure is most stable? *two*, by 817 meV/atom over the runner-up.

*one*
Computed, not measured: Zr3Sc2Fe2 after structural relaxation at the PBE-GGA level of DFT.

Cell lengths 5.791, 5.791, 8.242 Å; angles 115.07, 115.07, 33.67 degrees
Sites, in units of the cell vectors:
Zr1 0.000 0.000 0.000
Zr2 0.117 0.117 0.437
Zr3 0.883 0.883 0.563
Sc1 0.341 0.341 0.188
Sc2 0.659 0.659 0.812
Fe1 0.326 0.326 0.761
Fe2 0.674 0.674 0.239

Properties
**Symmetry**: C2/m, No. 12
**N(E_F)**: 6.942 states/eV/f.u.
**Magnetic moment**: 0.01 Bohr magnetons per cell

*two*
Computed, not measured: Zr3Sc2Fe2 after structural relaxation at the PBE-GGA level of DFT.

Cell lengths 5.874, 5.874, 9.448 Å; angles 123.63, 123.63, 31.64 degrees
Sites, in units of the cell vectors:
Zr1 0.000 0.000 0.000
Zr2 0.463 0.463 0.305
Zr3 0.537 0.537 0.695
Sc1 0.241 0.241 0.636
Sc2 0.759 0.759 0.364
Fe1 0.264 0.264 0.925
Fe2 0.736 0.736 0.075

Properties
**Symmetry**: C2/m, No. 12
**N(E_F)**: 9.872 states/eV/f.u.
**Magnetic moment**: 2.02 Bohr magnetons per cell

Which structure is most stable? *one*, by 148 meV/atom over the runner-up.